No. 1
Sr4LiPm3Se8 | Alexandria | PBE | relaxed; total DFT energy (no corrections) = -80.988 eV/f.u.; magnetization = 0.000 μB/atom
1.0
-2.1348 4.9489 6.6625
6.0334 -3.8683 4.8066
2.1674 3.5823 -7.4778
Sr Li Pm Se
4 1 3 8
Cartesian
-1.0674 2.4745 3.3313 Sr
0.0163 4.2656 -0.4076 Sr
0.0000 0.0000 0.0000 Sr
1.0837 1.7911 -3.7389 Sr
3.0167 -1.9342 2.4033 Li
1.9493 0.5403 5.7346 Pm
3.0330 2.3314 1.9957 Pm
4.1004 -0.1430 -1.3356 Pm
6.0536 1.9145 -2.2507 Se
4.9658 0.1161 1.5049 Se
2.1387 2.0633 -0.8474 Se
4.9813 4.4003 1.0959 Se
1.0848 0.2626 2.8955 Se
3.9273 2.5995 4.8387 Se
1.1002 4.5468 2.4865 Se
0.0125 2.7484 6.2421 Se



No. 2
PaNiSbPt | Alexandria | PBE | relaxed; total DFT energy (no corrections) = -27.669 eV/f.u.; magnetization = 0.000 μB/atom
1.0
4.7804 0.0000 0.0000
2.3902 4.1399 0.0000
2.3902 1.3800 3.9031
Sb Pa Pt Ni
1 1 1 1
Cartesian
0.0000 0.0000 0.0000 Sb
4.7804 2.7599 1.9516 Pa
7.1705 4.1399 2.9274 Pt
2.3902 1.3800 0.9758 Ni



No. 3
Ta2Fe2Tc | Alexandria | PBE | relaxed; formation enthalpy at 0 K = 10 meV per atom; total DFT energy (no corrections) = -50.945 eV/f.u.; magnetization = 0.000 μB/atom
1.0
6.7304 0.0000 0.0000
0.0000 6.7304 0.0000
0.0000 0.0000 3.1901
Fe Tc Ta
4 2 4
Cartesian
2.5607 5.9259 0.0000 Fe
5.9259 4.1697 0.0000 Fe
4.1697 0.8045 0.0000 Fe
0.8045 2.5607 0.0000 Fe
0.0000 0.0000 0.0000 Tc
3.3652 3.3652 0.0000 Tc
1.2221 4.5873 1.5950 Ta
4.5873 5.5083 1.5950 Ta
5.5083 2.1431 1.5950 Ta
2.1431 1.2221 1.5950 Ta



No. 4
BiTeRhI2 | Alexandria | PBE | relaxed; total DFT energy (no corrections) = -13.120 eV/f.u.; magnetization = 0.408 μB/atom
1.0
6.0597 0.0000 0.0000
0.0000 6.0597 0.0000
0.0000 0.0000 6.0622
I Te Rh Bi
2 1 1 1
Cartesian
0.0000 3.0299 0.0000 I
3.0299 0.0000 0.0000 I
0.0000 0.0000 3.0311 Te
3.0299 3.0299 3.0311 Rh
0.0000 0.0000 0.0000 Bi



No. 5
NdSm7Sn4 | Alexandria | PBE | relaxed; formation enthalpy at 0 K = -295 meV per atom; total DFT energy (no corrections) = -57.358 eV/f.u.; magnetization = 0.000 μB/atom
1.0
-1.9175 0.7264 -5.4567
4.9762 -5.9942 -5.6603
-5.4409 -5.0117 -1.8688
Nd Sm Sn
1 7 4
Cartesian
0.0000 0.0000 0.0000 Nd
-0.0273 -7.4211 -10.3192 Sm
-2.3549 -2.8584 -2.6666 Sm
1.6081 -4.9940 -4.3436 Sm
-3.9904 -5.2855 -8.6423 Sm
-1.7032 -7.2045 -6.5879 Sm
-0.9588 0.3632 -2.7284 Sm
-0.6791 -3.0750 -6.3980 Sm
-3.3855 -4.1626 -5.5917 Sn
1.0032 -6.1169 -7.3941 Sn
-3.0647 -8.2041 -9.3561 Sn
0.6825 -2.0754 -3.6298 Sn



No. 6
Cu3ReF | Alexandria | PBE | relaxed; total DFT energy (no corrections) = -22.782 eV/f.u.; magnetization = 0.000 μB/atom
1.0
4.0194 0.0000 0.0000
0.0000 4.0194 0.0000
0.0000 0.0000 4.0194
Re Cu F
1 3 1
Cartesian
2.0097 2.0097 2.0097 Re
0.0000 2.0097 0.0000 Cu
0.0000 0.0000 2.0097 Cu
2.0097 0.0000 0.0000 Cu
0.0000 0.0000 0.0000 F



No. 7
SrCrMo2 | Alexandria | PBE | relaxed; formation enthalpy at 0 K = 831 meV per atom; total DFT energy (no corrections) = -29.643 eV/f.u.; magnetization = 0.000 μB/atom
1.0
-1.1179 2.0693 1.5974
-1.5558 -2.3646 0.2679
5.4429 -2.7465 7.3669
Cr Mo Sr
1 2 1
Cartesian
2.9789 -2.3254 6.7740 Cr
5.3776 -2.7136 7.2785 Mo
-0.1908 -0.7260 2.4839 Mo
2.7678 -1.3966 3.7462 Sr



No. 8
TaTl2In | Alexandria | PBE | relaxed; formation enthalpy at 0 K = 366 meV per atom; total DFT energy (no corrections) = -17.861 eV/f.u.; magnetization = 0.000 μB/atom
1.0
3.1153 0.0095 0.0000
-0.0107 3.1153 0.0000
0.0000 0.0000 10.0259
In Ta Tl
1 1 2
Cartesian
0.0000 0.0000 5.3404 In
1.5523 1.5624 7.4337 Ta
0.0000 0.0000 9.7201 Tl
1.5523 1.5624 2.5705 Tl



Q: What is the magnetization in the sixth record?
A: 0.000 μB/atom